Computed, not measured: Ho2Be2SiRh5 after structural relaxation at the PBE level of DFT.

Calculated values
- Calculated volume: 14.5 Å³ per atom
- Formation energy without anion corrections: -0.87 eV/atom
- SG: P4/mbm
- Spin magnetization: 0.00 Bohr magnetons per cell
- Total DFT energy (no corrections): -6.746 eV per atom

Geometry as POSCAR:
```
Ho2Be2SiRh5
1.0
3.139 0.000 0.000
0.000 9.609 0.000
0.000 0.000 9.609
Ho Si Be Rh
4 2 4 10
direct
0.000 0.676 0.176
0.000 0.324 0.824
0.000 0.824 0.676
0.000 0.176 0.324
0.000 0.500 0.500
0.000 0.000 0.000
0.000 0.378 0.122
0.000 0.622 0.878
0.000 0.878 0.378
0.000 0.122 0.622
0.500 0.935 0.205
0.500 0.500 0.000
0.500 0.435 0.295
0.500 0.565 0.705
0.500 0.000 0.500
0.500 0.795 0.935
0.500 0.205 0.065
0.500 0.065 0.795
0.500 0.295 0.565
0.500 0.705 0.435
```

=====

Computed, not measured: Pr4ErHg3 after structural relaxation at the PBE level of DFT.

Calculated values
- Calculated volume: 29.8 Å³ per atom
- SG: Pmmm
- Energy of formation: -304 meV/atom
- Spin magnetization: 1.14 Bohr magnetons per cell
- Total DFT energy (no corrections): -3.377 eV per atom

Geometry as POSCAR:
```
Pr4ErHg3
1.0
-0.737 -3.730 -0.139
1.004 0.004 -5.460
10.871 -2.223 1.998
Pr Hg Er
4 3 1
direct
0.000 0.000 0.000
0.000 0.500 0.737
0.000 0.500 0.263
0.000 0.000 0.500
0.500 0.000 0.240
0.500 0.500 0.500
0.500 0.000 0.760
0.500 0.500 0.000
```